Record 1
Material: Li4La5
Method: DFT, PBE-GGA
State: relaxed

DFT formation energy (eV/atom): 0.17

The structure in POSCAR format:
```
Li4La5
1.0
9.541 0.000 0.000
-4.770 8.263 0.000
0.000 0.000 6.984
Li La
8 10
Direct
0.000 0.000 0.000
0.000 0.000 0.500
0.000 0.294 0.250
0.706 0.706 0.250
0.294 0.000 0.250
0.000 0.706 0.750
0.294 0.294 0.750
0.706 0.000 0.750
0.000 0.633 0.250
0.367 0.367 0.250
0.633 0.000 0.250
0.000 0.367 0.750
0.633 0.633 0.750
0.367 0.000 0.750
0.667 0.333 0.000
0.333 0.667 0.500
0.333 0.667 0.000
0.667 0.333 0.500
```

---

Record 2
Material: Li4La
Method: DFT, PBE-GGA
State: relaxed

Distance to the lowest polymorph of the same formula (meV per atom): 0
DFT formation energy (eV/atom): 0.15

The structure in POSCAR format:
```
Li4La
1.0
-0.223 -1.486 6.421
-5.587 -2.223 2.708
3.801 -1.229 -5.247
Li La
4 1
Direct
0.750 0.250 0.500
0.250 0.750 0.500
0.618 0.618 0.000
0.382 0.382 0.000
0.000 0.000 0.000
```

---

Record 3
Material: LiLa
Method: DFT, PBE-GGA
State: relaxed

Distance to the lowest polymorph of the same formula (meV per atom): 196
DFT formation energy (eV/atom): 0.25

The structure in POSCAR format:
```
LiLa
1.0
-5.171 6.074 3.141
-3.738 1.154 -8.385
-8.063 -8.143 2.473
Li La
16 16
Direct
0.151 0.000 0.000
0.849 0.000 0.000
0.099 0.750 0.250
0.401 0.750 0.250
0.151 0.500 0.500
0.849 0.500 0.500
0.099 0.250 0.750
0.401 0.250 0.750
0.651 0.000 0.500
0.349 0.000 0.500
0.599 0.750 0.750
0.901 0.750 0.750
0.651 0.500 0.000
0.349 0.500 0.000
0.599 0.250 0.250
0.901 0.250 0.250
0.000 0.663 0.000
0.000 0.337 0.000
0.250 0.087 0.250
0.250 0.413 0.250
0.000 0.163 0.500
0.000 0.837 0.500
0.250 0.587 0.750
0.250 0.913 0.750
0.500 0.663 0.500
0.500 0.337 0.500
0.750 0.087 0.750
0.750 0.413 0.750
0.500 0.163 0.000
0.500 0.837 0.000
0.750 0.587 0.250
0.750 0.913 0.250
```

---

Record 4
Material: Li2La
Method: DFT, PBE-GGA
State: relaxed

Distance to the lowest polymorph of the same formula (meV per atom): 15
DFT formation energy (eV/atom): 0.12

The structure in POSCAR format:
```
Li2La
1.0
-3.215 1.651 3.843
3.830 -3.468 1.072
2.076 2.498 0.663
La Li
1 2
Direct
0.000 0.000 0.000
0.667 0.333 0.504
0.333 0.667 0.496
```

---

Record 5
Material: LiLa
Method: DFT, PBE-GGA
State: relaxed

Distance to the lowest polymorph of the same formula (meV per atom): 90
DFT formation energy (eV/atom): 0.14

The structure in POSCAR format:
```
LiLa
1.0
3.871 0.000 0.000
0.000 3.871 0.000
0.000 0.000 3.871
Li La
1 1
Direct
0.500 0.500 0.500
0.000 0.000 0.000
```

---

Record 6
Material: LiLa4
Method: DFT, PBE-GGA
State: relaxed

Distance to the lowest polymorph of the same formula (meV per atom): 0
DFT formation energy (eV/atom): 0.09

The structure in POSCAR format:
```
LiLa4
1.0
6.236 0.004 0.000
-4.080 4.716 0.000
-1.078 -2.360 5.671
La Li
4 1
Direct
0.804 0.394 0.197
0.394 0.196 0.590
0.196 0.606 0.803
0.606 0.804 0.410
0.000 0.000 0.000
```

---

Record 7
Material: LiLa3
Method: DFT, PBE-GGA
State: relaxed

Distance to the lowest polymorph of the same formula (meV per atom): 152
DFT formation energy (eV/atom): 0.21

The structure in POSCAR format:
```
LiLa3
1.0
-0.478 -0.638 3.409
3.041 -1.611 0.125
5.077 9.784 2.543
Li La
1 3
Direct
0.000 0.000 0.966
0.000 0.500 0.464
0.500 0.500 0.193
0.500 0.000 0.710
```

---

Record 8
Material: LiLa5
Method: DFT, PBE-GGA
State: relaxed

Distance to the lowest polymorph of the same formula (meV per atom): 36
DFT formation energy (eV/atom): 0.07

The structure in POSCAR format:
```
LiLa5
1.0
5.803 0.000 0.000
-2.902 4.878 -1.194
0.000 1.676 6.894
Li La
1 5
Direct
0.305 0.610 0.806
0.972 0.944 0.065
0.306 0.612 0.306
0.639 0.277 0.805
0.639 0.278 0.305
0.973 0.945 0.546
```